w | A geometry-optimized LaNi2Rh structure. Source: Alexandria, functional GGA-PBE.

Cell: 3.2240 3.2240 6.4245 Å, 90.00 90.00 90.00°
Fractional coordinates of all 4 atoms:
La1 0.0000 0.0000 0.0000
Ni1 0.0000 0.0000 0.4683
Ni2 0.5000 0.5000 0.3117
Rh1 0.5000 0.5000 0.6947

Output
- Symmetry: P4mm, No. 99

***

x | A geometry-optimized LaNi2Rh structure. Source: Alexandria, functional GGA-PBE.

Cell: 4.1927 4.3246 4.4063 Å, 90.00 96.54 90.00°
Fractional coordinates of all 4 atoms:
La1 0.0000 0.0000 0.0000
Ni1 0.4339 0.5000 0.7488
Ni2 0.5661 0.5000 0.2512
Rh1 0.5000 0.0000 0.5000

Output
- Symmetry: P2/m, No. 10

***

So which one wins? Going from most stable to least: x, w.

***

w | A geometry-optimized LaNi2Rh structure. Source: Alexandria, functional GGA-PBE.

Cell: 9.2204 9.2204 9.2204 Å, 32.21 32.21 32.21°
Fractional coordinates of all 12 atoms:
La1 0.0000 0.0000 0.0000
La2 0.1381 0.1381 0.1381
La3 0.8619 0.8619 0.8619
Ni1 0.0808 0.5819 0.5819
Ni2 0.4181 0.4181 0.9192
Ni3 0.4181 0.9192 0.4181
Ni4 0.5819 0.0808 0.5819
Ni5 0.5819 0.5819 0.0808
Ni6 0.9192 0.4181 0.4181
Rh1 0.3319 0.3319 0.3319
Rh2 0.5000 0.5000 0.5000
Rh3 0.6681 0.6681 0.6681

Output
- Symmetry: R-3m, No. 166

***

x | A geometry-optimized LaNi2Rh structure. Source: Alexandria, functional GGA-PBE.

Cell: 4.5467 4.5467 4.5467 Å, 60.00 60.00 60.00°
Fractional coordinates of all 4 atoms:
La1 0.0000 0.0000 0.0000
Ni1 0.5000 0.5000 0.5000
Ni2 0.7500 0.7500 0.7500
Rh1 0.2500 0.2500 0.2500

Output
- Symmetry: F-43m, No. 216

***

So which one wins? Going from most stable to least: w, x.

***

w | A geometry-optimized LaNi2Rh structure. Source: Alexandria, functional GGA-PBE.

Cell: 5.3266 5.3266 5.3266 Å, 47.16 47.16 47.16°
Fractional coordinates of all 4 atoms:
La1 0.0000 0.0000 0.0000
Ni1 0.1905 0.1905 0.1905
Ni2 0.8095 0.8095 0.8095
Rh1 0.5000 0.5000 0.5000

Output
- Symmetry: R-3m, No. 166

***

x | A geometry-optimized LaNi2Rh structure. Source: Alexandria, functional GGA-PBE.

Cell: 4.0583 4.0583 3.9767 Å, 90.00 90.00 90.00°
Fractional coordinates of all 4 atoms:
La1 0.0000 0.0000 0.0000
Ni1 0.0000 0.5000 0.5000
Ni2 0.5000 0.0000 0.5000
Rh1 0.5000 0.5000 0.0000

Output
- Symmetry: P4/mmm, No. 123

***

So which one wins? Going from most stable to least: w, x.

***

w | A geometry-optimized LaNi3Rh2 structure. Source: Alexandria, functional GGA-PBE.

Cell: 5.1176 5.1176 4.0429 Å, 90.00 90.00 117.21°
Fractional coordinates of all 6 atoms:
La1 0.0000 0.0000 0.0000
Ni1 0.3443 0.6557 0.0000
Ni2 0.5000 0.5000 0.5000
Ni3 0.6557 0.3443 0.0000
Rh1 0.0000 0.5000 0.5000
Rh2 0.5000 0.0000 0.5000

Output
- Symmetry: Cmmm, No. 65

***

x | A geometry-optimized LaNi3Rh2 structure. Source: Alexandria, functional GGA-PBE.

Cell: 5.0950 5.0950 4.2053 Å, 90.00 90.00 120.00°
Fractional coordinates of all 6 atoms:
La1 0.0000 0.0000 0.0000
Ni1 0.0000 0.5000 0.5000
Ni2 0.5000 0.0000 0.5000
Ni3 0.5000 0.5000 0.5000
Rh1 0.3333 0.6667 0.0000
Rh2 0.6667 0.3333 0.0000

Output
- Symmetry: P6/mmm, No. 191

***

y | A geometry-optimized LaNi3Rh2 structure. Source: Alexandria, functional GGA-PBE.

Cell: 6.2776 6.2776 5.1317 Å, 90.00 90.00 82.38°
Fractional coordinates of all 12 atoms:
La1 0.1988 0.8012 0.7500
La2 0.8012 0.1988 0.2500
Ni1 0.0445 0.5709 0.2500
Ni2 0.4291 0.9555 0.2500
Ni3 0.4354 0.5646 0.2500
Ni4 0.5646 0.4354 0.7500
Ni5 0.5709 0.0445 0.7500
Ni6 0.9555 0.4291 0.7500
Rh1 0.2785 0.2785 0.0000
Rh2 0.2785 0.2785 0.5000
Rh3 0.7215 0.7215 0.0000
Rh4 0.7215 0.7215 0.5000

Output
- Symmetry: Cmcm, No. 63

***

So which one wins? Going from most stable to least: w, x, y.

***

w | A geometry-optimized LaNiRu3 structure. Source: Alexandria, functional GGA-PBE.

Cell: 4.5784 4.5784 4.5784 Å, 90.00 90.00 90.00°
Fractional coordinates of all 5 atoms:
La1 0.0000 0.0000 0.0000
Ni1 0.5000 0.5000 0.5000
Ru1 0.0000 0.5000 0.5000
Ru2 0.5000 0.0000 0.5000
Ru3 0.5000 0.5000 0.0000

Output
- Symmetry: Pm-3m, No. 221

***

x | A geometry-optimized LaNiRu3 structure. Source: Alexandria, functional GGA-PBE.

Cell: 4.7293 4.7293 4.7293 Å, 90.00 90.00 90.00°
Fractional coordinates of all 5 atoms:
La1 0.0000 0.0000 0.0000
Ni1 0.5000 0.5000 0.5000
Ru1 0.0000 0.0000 0.5000
Ru2 0.0000 0.5000 0.0000
Ru3 0.5000 0.0000 0.0000

Output
- Symmetry: Pm-3m, No. 221

***

So which one wins? Going from most stable to least: w, x.

***

w | A geometry-optimized La2Ni2Ru structure. Source: Alexandria, functional GGA-PBE.

Cell: 5.1478 5.1478 8.4818 Å, 101.21 101.21 67.18°
Fractional coordinates of all 10 atoms:
La1 0.0362 0.2776 0.1561
La2 0.2776 0.0362 0.6561
La3 0.7224 0.9638 0.3439
La4 0.9638 0.7224 0.8439
Ni1 0.2547 0.5046 0.5011
Ni2 0.4954 0.7453 0.9989
Ni3 0.5046 0.2547 0.0011
Ni4 0.7453 0.4954 0.4989
Ru1 0.3734 0.6266 0.2500
Ru2 0.6266 0.3734 0.7500

Output
- Symmetry: C2/c, No. 15

***

x | A geometry-optimized La2Ni2Ru structure. Source: Alexandria, functional GGA-PBE.

Cell: 7.0718 7.0718 4.0048 Å, 90.00 90.00 90.00°
Fractional coordinates of all 10 atoms:
La1 0.1885 0.3115 0.0000
La2 0.3115 0.8115 0.0000
La3 0.6885 0.1885 0.0000
La4 0.8115 0.6885 0.0000
Ni1 0.1202 0.6202 0.5000
Ni2 0.3798 0.1202 0.5000
Ni3 0.6202 0.8798 0.5000
Ni4 0.8798 0.3798 0.5000
Ru1 0.0000 0.0000 0.5000
Ru2 0.5000 0.5000 0.5000

Output
- Symmetry: P4/mbm, No. 127

***

So which one wins? Going from most stable to least: w, x.